1.
Compound: Pm4BPb
Source: Alexandria via LeMat-Bulk
Functional: PBE-GGA
Structure: optimized geometry

a b c (Å): 4.908 4.908 7.296
angles (deg): 90.00 90.00 90.00
Space group P4/mmm (No. 123)
Inequivalent atoms, fractional coordinates:
1 Pm 0.000 0.500 0.211 (multiplicity 4)
2 B 0.000 0.000 0.000 (multiplicity 1)
3 Pb 0.500 0.500 0.500 (multiplicity 1)

Calculated values
Formation enthalpy at 0 K ... -0.02 eV per atom

---

2.
Compound: TlSiRu2
Source: Alexandria via LeMat-Bulk
Functional: PBE-GGA
Structure: optimized geometry

a b c (Å): 7.057 2.942 7.425
angles (deg): 90.00 110.56 90.00
Space group C2/m (No. 12)
Inequivalent atoms, fractional coordinates:
1 Tl 0.000 0.000 0.000 (multiplicity 2)
2 Si 0.000 0.500 0.500 (multiplicity 2)
3 Ru 0.223 0.500 0.331 (multiplicity 4)

Calculated values
ΔE to the lowest computed polymorph ... 0.32 eV per formula unit

---

3.
Compound: LiSc
Source: Alexandria via LeMat-Bulk
Functional: PBE-GGA
Structure: optimized geometry

a b c (Å): 3.436 3.436 7.302
angles (deg): 90.00 90.00 90.00
Space group P4/nmm (No. 129, origin choice 2)
Inequivalent atoms, fractional coordinates:
1 Li 0.250 0.250 0.099 (multiplicity 2)
2 Sc 0.250 0.250 0.637 (multiplicity 2)

Calculated values
Formation enthalpy at 0 K ... 0.10 eV per atom
ΔE to the lowest computed polymorph ... 0.01 eV per formula unit

---

4.
Compound: Tb4Pr2YMg
Source: Alexandria via LeMat-Bulk
Functional: PBE-GGA
Structure: optimized geometry

a b c (Å): 5.016 5.016 10.198
angles (deg): 90.00 90.00 90.00
Space group P4/mmm (No. 123)
Inequivalent atoms, fractional coordinates:
1 Tb 0.000 0.500 0.248 (multiplicity 4)
2 Pr 0.000 0.000 0.000 (multiplicity 1)
3 Pr 0.500 0.500 0.500 (multiplicity 1)
4 Y 0.000 0.000 0.500 (multiplicity 1)
5 Mg 0.500 0.500 0.000 (multiplicity 1)

Calculated values
Formation enthalpy at 0 K ... 0.03 eV per atom

---

5.
Compound: MgBTe
Source: Alexandria via LeMat-Bulk
Functional: PBE-GGA
Structure: optimized geometry

a b c (Å): 3.141 4.272 10.902
angles (deg): 94.68 91.18 111.38
Space group P1 (No. 1)
Inequivalent atoms, fractional coordinates:
1 Mg 0.000 0.000 0.000 (multiplicity 1)
2 Mg 0.306 0.557 0.330 (multiplicity 1)
3 B 0.017 0.000 0.215 (multiplicity 1)
4 B 0.528 0.026 0.193 (multiplicity 1)
5 Te 0.040 0.002 0.507 (multiplicity 1)
6 Te 0.251 0.519 0.846 (multiplicity 1)

Calculated values
ΔE to the lowest computed polymorph ... 0.07 eV per formula unit

---

6.
Compound: Pr3Pu2Rh4
Source: Alexandria via LeMat-Bulk
Functional: PBE-GGA
Structure: optimized geometry

a b c (Å): 14.725 3.484 8.504
angles (deg): 90.00 114.66 90.00
Space group C2/m (No. 12)
Inequivalent atoms, fractional coordinates:
1 Pr 0.000 0.000 0.000 (multiplicity 2)
2 Pr 0.120 0.500 0.716 (multiplicity 4)
3 Pu 0.208 0.500 0.398 (multiplicity 4)
4 Rh 0.059 0.000 0.387 (multiplicity 4)
5 Rh 0.194 0.500 0.092 (multiplicity 4)

Calculated values
Formation enthalpy at 0 K ... -0.33 eV per atom
ΔE to the lowest computed polymorph ... 1.82 eV per formula unit

---

7.
Compound: LaHfBr2
Source: Alexandria via LeMat-Bulk
Functional: PBE-GGA
Structure: optimized geometry

a b c (Å): 4.918 4.918 19.188
angles (deg): 90.00 90.00 90.00
Space group I-42d (No. 122)
Inequivalent atoms, fractional coordinates:
1 La 0.000 0.000 0.000 (multiplicity 4)
2 Hf 0.000 0.000 0.500 (multiplicity 4)
3 Br 0.224 0.250 0.625 (multiplicity 8)

Calculated values
ΔE to the lowest computed polymorph ... 0.87 eV per formula unit

---

8.
Compound: CaDyEr2As4
Source: Alexandria via LeMat-Bulk
Functional: PBE-GGA
Structure: optimized geometry

a b c (Å): 7.158 4.112 7.169
angles (deg): 90.00 109.26 90.00
Space group P2/m (No. 10)
Inequivalent atoms, fractional coordinates:
1 Ca 0.000 0.000 0.000 (multiplicity 1)
2 Dy 0.500 0.500 0.000 (multiplicity 1)
3 Er 0.000 0.500 0.500 (multiplicity 1)
4 Er 0.500 0.000 0.500 (multiplicity 1)
5 As 0.252 0.000 0.745 (multiplicity 2)
6 As 0.257 0.500 0.259 (multiplicity 2)

Calculated values
Formation enthalpy at 0 K ... -1.36 eV per atom

---

9.
Compound: TlCCl3
Source: Alexandria via LeMat-Bulk
Functional: PBE-GGA
Structure: optimized geometry

a b c (Å): 5.299 5.299 5.299
angles (deg): 90.00 90.00 90.00
Space group Pm-3m (No. 221)
Inequivalent atoms, fractional coordinates:
1 Tl 0.000 0.000 0.000 (multiplicity 1)
2 C 0.500 0.500 0.500 (multiplicity 1)
3 Cl 0.000 0.000 0.500 (multiplicity 3)

Calculated values
ΔE to the lowest computed polymorph ... 3.30 eV per formula unit

---

10.
Compound: K2NaPtN
Source: Alexandria via LeMat-Bulk
Functional: PBE-GGA
Structure: optimized geometry

a b c (Å): 6.156 6.156 3.774
angles (deg): 90.00 90.00 90.00
Space group P4/mmm (No. 123)
Inequivalent atoms, fractional coordinates:
1 K 0.000 0.500 0.000 (multiplicity 2)
2 Na 0.000 0.000 0.500 (multiplicity 1)
3 Pt 0.500 0.500 0.500 (multiplicity 1)
4 N 0.500 0.500 0.000 (multiplicity 1)

Calculated values
ΔE to the lowest computed polymorph ... 0.00 eV per formula unit

---

11.
Compound: CaMg2Si
Source: Alexandria via LeMat-Bulk
Functional: PBE-GGA
Structure: optimized geometry

a b c (Å): 3.551 4.726 5.815
angles (deg): 90.00 103.14 90.00
Space group P2/m (No. 10)
Inequivalent atoms, fractional coordinates:
1 Ca 0.000 0.000 0.000 (multiplicity 1)
2 Mg 0.369 0.500 0.723 (multiplicity 2)
3 Si 0.500 0.000 0.500 (multiplicity 1)

---

12.
Compound: AcSmGe2Pd5
Source: Alexandria via LeMat-Bulk
Functional: PBE-GGA
Structure: optimized geometry

a b c (Å): 4.379 4.379 9.177
angles (deg): 90.00 90.00 90.00
Space group P4/mmm (No. 123)
Inequivalent atoms, fractional coordinates:
1 Ac 0.000 0.000 0.000 (multiplicity 1)
2 Sm 0.000 0.000 0.500 (multiplicity 1)
3 Ge 0.500 0.500 0.365 (multiplicity 2)
4 Pd 0.000 0.500 0.235 (multiplicity 4)
5 Pd 0.500 0.500 0.000 (multiplicity 1)

Calculated values
Formation enthalpy at 0 K ... -0.78 eV per atom

---

Number 1: DOS at the Fermi energy 4.64 states/eV/f.u., total energy -4.91 eV per atom. Number 2: DOS at the Fermi energy 2.21 states/eV/f.u., total energy -6.53 eV per atom. Number 3: DOS at the Fermi energy 1.92 states/eV/f.u., total energy -4.02 eV per atom. Number 4: DOS at the Fermi energy 12.96 states/eV/f.u., total energy -4.49 eV per atom. Number 5: DOS at the Fermi energy 1.22 states/eV/f.u., total energy -3.90 eV per atom. Number 6: DOS at the Fermi energy 10.14 states/eV/f.u., total energy -8.38 eV per atom. Number 7: DOS at the Fermi energy 5.03 states/eV/f.u., total energy -5.02 eV per atom. Number 8: DOS at the Fermi energy 3.59 states/eV/f.u., total energy -5.66 eV per atom. Number 9: DOS at the Fermi energy 18.92 states/eV/f.u., total energy -2.32 eV per atom. Number 10: DOS at the Fermi energy 2.72 states/eV/f.u., total energy -3.63 eV per atom. Number 11: DOS at the Fermi energy 1.26 states/eV/f.u., total energy -2.70 eV per atom. Number 12: DOS at the Fermi energy 3.04 states/eV/f.u., total energy -5.67 eV per atom.